1.
Entry from Alexandria via LeMat-Bulk: a relaxed Co2PtAu crystal (GGA-PBE).

a = 4.508 Å, b = 4.508 Å, c = 2.786 Å
α = 90.00°, β = 90.00°, γ = 90.00°
Fractional positions:
1 Pt 0.500 0.000 0.500
2 Co 0.000 0.000 0.000
3 Co 0.500 0.500 0.000
4 Au 0.000 0.500 0.500

Calculated values
**Space group**: P4/mmm, No. 123
**ΔE_f**: 174 meV per atom
**Relative energy among the computed polymorphs**: 0.111 eV per atom
**M_tot**: 0.9981 μB per atom
**Crystal system**: tetragonal

---

2.
Entry from Alexandria via LeMat-Bulk: a relaxed Co2PtAu crystal (GGA-PBE).

a = 5.245 Å, b = 5.245 Å, c = 5.245 Å
α = 149.24°, β = 129.32°, γ = 60.46°
Fractional positions:
1 Pt 0.520 0.520 0.000
2 Co 0.767 0.267 0.500
3 Co 0.975 0.975 0.000
4 Au 0.238 0.738 0.500

Calculated values
**Space group**: Imm2, No. 44
**ΔE_f**: 136 meV per atom
**Relative energy among the computed polymorphs**: 0.072 eV per atom
**M_tot**: 1.0001 μB per atom
**Crystal system**: orthorhombic

---

3.
Entry from Alexandria via LeMat-Bulk: a relaxed Co2Pt2Au crystal (GGA-PBE).

a = 7.376 Å, b = 7.376 Å, c = 2.728 Å
α = 90.00°, β = 90.00°, γ = 90.00°
Fractional positions:
1 Co 0.618 0.118 0.000
2 Pt 0.326 0.174 0.500
3 Co 0.118 0.382 0.000
4 Co 0.882 0.618 0.000
5 Co 0.382 0.882 0.000
6 Pt 0.174 0.674 0.500
7 Au 0.000 0.000 0.000
8 Pt 0.826 0.326 0.500
9 Au 0.500 0.500 0.000
10 Pt 0.674 0.826 0.500

Calculated values
**Space group**: P4/mbm, No. 127
**ΔE_f**: 89 meV per atom
**Relative energy among the computed polymorphs**: 0.000 eV per atom
**M_tot**: 0.9121 μB per atom
**Crystal system**: tetragonal

---

4.
Entry from Alexandria via LeMat-Bulk: a relaxed Co2PtAu crystal (GGA-PBE).

a = 2.749 Å, b = 3.482 Å, c = 5.922 Å
α = 90.00°, β = 90.00°, γ = 90.00°
Fractional positions:
1 Pt 0.000 0.000 0.466
2 Co 0.500 0.500 0.225
3 Au 0.500 0.500 0.772
4 Co 0.000 0.000 0.036

Calculated values
**Space group**: Pmm2, No. 25
**ΔE_f**: 91 meV per atom
**Relative energy among the computed polymorphs**: 0.027 eV per atom
**M_tot**: 0.9986 μB per atom
**Crystal system**: orthorhombic

---

5.
Entry from Alexandria via LeMat-Bulk: a relaxed CoPtAu2 crystal (GGA-PBE).

a = 4.826 Å, b = 4.826 Å, c = 2.898 Å
α = 90.00°, β = 90.00°, γ = 109.47°
Fractional positions:
1 Pt 0.000 0.500 0.500
2 Au 0.500 0.500 0.000
3 Co 0.500 0.000 0.500
4 Au 0.000 0.000 0.000

Calculated values
**Space group**: Cmmm, No. 65
**ΔE_f**: 192 meV per atom
**Relative energy among the computed polymorphs**: 0.150 eV per atom
**M_tot**: 0.5087 μB per atom
**Crystal system**: orthorhombic

---

6.
Entry from Alexandria via LeMat-Bulk: a relaxed CoPt2Au crystal (GGA-PBE).

a = 3.936 Å, b = 3.942 Å, c = 3.942 Å
α = 90.00°, β = 90.00°, γ = 90.00°
Fractional positions:
1 Co 0.500 0.000 0.500
2 Pt 0.000 0.000 0.000
3 Au 0.500 0.500 0.000
4 Pt 0.000 0.500 0.500

Calculated values
**Space group**: P4/mmm, No. 123
**ΔE_f**: 82 meV per atom
**M_tot**: 0.6954 μB per atom
**Crystal system**: tetragonal

---

7.
Entry from Alexandria via LeMat-Bulk: a relaxed CoPt2Au crystal (GGA-PBE).

a = 9.335 Å, b = 9.335 Å, c = 9.335 Å
α = 17.06°, β = 17.06°, γ = 17.06°
Fractional positions:
1 Pt 0.492 0.492 0.492
2 Co 0.750 0.750 0.750
3 Au 0.250 0.250 0.250
4 Pt 0.008 0.008 0.008

Calculated values
**Space group**: R-3m, No. 166
**ΔE_f**: -44 meV per atom
**M_tot**: 0.6044 μB per atom
**Crystal system**: trigonal

---

8.
Entry from Alexandria via LeMat-Bulk: a relaxed CoPtAu2 crystal (GGA-PBE).

a = 4.884 Å, b = 4.884 Å, c = 4.884 Å
α = 131.84°, β = 131.84°, γ = 70.48°
Fractional positions:
1 Pt 0.750 0.250 0.500
2 Co 0.500 0.500 0.000
3 Au 0.000 0.000 0.000
4 Au 0.250 0.750 0.500

Calculated values
**Space group**: I-4m2, No. 119
**ΔE_f**: 141 meV per atom
**Relative energy among the computed polymorphs**: 0.099 eV per atom
**M_tot**: 0.5769 μB per atom
**Crystal system**: tetragonal

---

9.
Entry from Alexandria via LeMat-Bulk: a relaxed Co2PtAu crystal (GGA-PBE).

a = 4.752 Å, b = 4.752 Å, c = 4.638 Å
α = 77.25°, β = 77.25°, γ = 33.50°
Fractional positions:
1 Co 0.738 0.738 0.744
2 Co 0.017 0.017 0.996
3 Pt 0.488 0.488 0.532
4 Au 0.258 0.258 0.228

Calculated values
**Space group**: Cm, No. 8
**ΔE_f**: 90 meV per atom
**Relative energy among the computed polymorphs**: 0.027 eV per atom
**M_tot**: 1.0095 μB per atom
**Crystal system**: monoclinic

---

10.
Entry from Alexandria via LeMat-Bulk: a relaxed CoPt2Au crystal (GGA-PBE).

a = 4.807 Å, b = 4.807 Å, c = 2.814 Å
α = 90.00°, β = 90.00°, γ = 109.31°
Fractional positions:
1 Pt 0.000 0.000 0.000
2 Pt 0.500 0.500 0.000
3 Co 0.000 0.500 0.500
4 Au 0.500 0.000 0.500

Calculated values
**Space group**: Cmmm, No. 65
**ΔE_f**: 100 meV per atom
**M_tot**: 0.6539 μB per atom
**Crystal system**: orthorhombic

---

11.
Entry from Alexandria via LeMat-Bulk: a relaxed CoPt2Au crystal (GGA-PBE).

a = 7.096 Å, b = 7.096 Å, c = 5.672 Å
α = 51.27°, β = 51.27°, γ = 90.00°
Fractional positions:
1 Co 0.500 0.500 0.000
2 Pt 0.159 0.625 0.250
3 Pt 0.591 0.125 0.250
4 Co 0.250 0.750 0.500
5 Au 0.000 0.000 0.000
6 Au 0.750 0.250 0.500
7 Pt 0.375 0.409 0.750
8 Pt 0.875 0.841 0.750

Calculated values
**Space group**: I-42d, No. 122
**ΔE_f**: 338 meV per atom
**M_tot**: 0.7113 μB per atom
**Crystal system**: tetragonal

---

12.
Entry from Alexandria via LeMat-Bulk: a relaxed CoPtAu3 crystal (GGA-PBE).

a = 4.681 Å, b = 4.681 Å, c = 4.681 Å
α = 90.00°, β = 90.00°, γ = 90.00°
Fractional positions:
1 Pt 0.500 0.500 0.500
2 Au 0.500 0.000 0.000
3 Au 0.000 0.000 0.500
4 Co 0.000 0.000 0.000
5 Au 0.000 0.500 0.000

Calculated values
**Space group**: Pm-3m, No. 221
**ΔE_f**: 1068 meV per atom
**Relative energy among the computed polymorphs**: 0.000 eV per atom
**M_tot**: 0.3866 μB per atom
**Crystal system**: cubic